This record from the Alexandria database describes a relaxed structure of YCrCd3. The functional is PBE.

The structure in POSCAR format:
```
YCrCd3
1.0
5.668 0.000 0.000
0.000 5.668 0.000
0.000 0.000 5.668
Cd Y Cr
3 1 1
Cartesian
0.000 2.834 0.000
0.000 0.000 2.834
2.834 0.000 0.000
0.000 0.000 0.000
2.834 2.834 2.834
```

Calculated values
DOS(E_F)   1.702 states/eV per atom
Density   4.360 g/cm3
SG   Pm-3m (221)
V   36.42 Å³ per atom
Energy of formation   1.705 eV per atom
Energy relative to the lowest polymorph listed for this composition   1.280 eV per atom